Record 1
The following is a DFT calculation (GGA-PBE) of an optimized crystal structure of LaY4Ho5.

Summary:
Its crystal system is tetragonal. As for the energy: -5.068 eV per atom. As for the space group: I4. Its density of states at the Fermi level is 14.77 states/eV/f.u. The energy relative to the lowest polymorph listed for this composition comes out at 0.232 eV per atom. The value obtained for the formation energy is 0.299 eV per atom.

POSCAR file:
```
LaY4Ho5
1.0
-5.0967 5.0967 3.1712
5.0967 -5.0967 3.1712
5.0967 5.0967 -3.1712
La Y Ho
1 4 5
direct
0.0000 0.0000 0.0000 La
0.1155 0.8175 0.3956 Y
0.4219 0.7199 0.6044 Y
0.7199 0.1155 0.2980 Y
0.8175 0.4219 0.7020 Y
0.0445 0.1316 0.6249 Ho
0.1316 0.5067 0.0871 Ho
0.4196 0.0445 0.9129 Ho
0.5067 0.4196 0.3751 Ho
0.5446 0.5446 0.0000 Ho
```

=====

Record 2
The following is a DFT calculation (GGA-PBE) of an optimized crystal structure of Zr5Tc4Ni.

Summary:
Its crystal system is tetragonal. As for the energy: -9.382 eV per atom. As for the space group: P4/mmm. Its density of states at the Fermi level is 9.40 states/eV/f.u. The value obtained for the formation energy is -0.384 eV per atom.

POSCAR file:
```
Zr5Tc4Ni
1.0
3.2996 0.0000 0.0000
0.0000 3.2996 0.0000
0.0000 0.0000 16.2744
Zr Tc Ni
5 4 1
direct
0.0000 0.0000 0.0000 Zr
0.0000 0.0000 0.2020 Zr
0.0000 0.0000 0.4007 Zr
0.0000 0.0000 0.5993 Zr
0.0000 0.0000 0.7980 Zr
0.5000 0.5000 0.1015 Tc
0.5000 0.5000 0.3066 Tc
0.5000 0.5000 0.6934 Tc
0.5000 0.5000 0.8985 Tc
0.5000 0.5000 0.5000 Ni
```

=====

Record 3
The following is a DFT calculation (GGA-PBE) of an optimized crystal structure of Mn2PtPb.

Summary:
Its crystal system is orthorhombic. As for the energy: -6.874 eV per atom. As for the space group: Pmm2. Its density of states at the Fermi level is 2.91 states/eV/f.u. The value obtained for the formation energy is 0.148 eV per atom.

POSCAR file:
```
Mn2PtPb
1.0
3.1572 0.0000 0.0000
0.0000 4.5585 0.0000
0.0000 0.0000 4.9388
Mn Pt Pb
2 1 1
direct
0.0000 0.0000 0.0000 Mn
0.0000 0.5000 0.3335 Mn
0.5000 0.0000 0.4473 Pt
0.5000 0.5000 0.8271 Pb
```

=====

Record 4
The following is a DFT calculation (GGA-PBE) of an optimized crystal structure of PaAlGa3.

Summary:
Its crystal system is hexagonal. As for the energy: -4.537 eV per atom. As for the space group: P6_3/mmc. Its density of states at the Fermi level is 5.48 states/eV/f.u. The energy relative to the lowest polymorph listed for this composition comes out at 0.000 eV per atom. The value obtained for the formation energy is -0.073 eV per atom.

POSCAR file:
```
PaAlGa3
1.0
6.1802 0.0000 0.0000
-3.0901 5.3522 0.0000
0.0000 0.0000 5.9162
Pa Al Ga
2 2 6
direct
0.3333 0.6667 0.2500 Pa
0.6667 0.3333 0.7500 Pa
0.0000 0.0000 0.0000 Al
0.0000 0.0000 0.5000 Al
0.1981 0.3962 0.7500 Ga
0.1981 0.8019 0.7500 Ga
0.3962 0.1981 0.2500 Ga
0.6038 0.8019 0.7500 Ga
0.8019 0.1981 0.2500 Ga
0.8019 0.6038 0.2500 Ga
```